Crystalline W2AuSe at its relaxed geometry, computed with PBE.

Cell lengths 3.065, 3.065, 6.880 Å; angles 90.00, 90.00, 90.00 degrees
Positions (direct):
W 0.000 0.000 0.524
W 0.000 0.000 0.976
Se 0.500 0.500 0.750
Au 0.500 0.500 0.250

theoretical density: 16.53 g/cm3
raw total energy: -30.618 eV for the cell shown
D(E_F): 0.710 states/eV per atom